No. 1
First-principles (GGA-PBE) data for a relaxed VSiP crystal, as listed in the Alexandria database.

```
VSiP
1.0
3.123 0.000 0.000
0.000 3.123 0.000
0.000 0.000 7.638
P Si V
2 2 2
direct
0.000 0.000 0.715
0.500 0.500 0.215
0.000 0.000 0.039
0.500 0.500 0.539
0.000 0.000 0.369
0.500 0.500 0.869
```

Summary:
N(E_F)	0.97	states/eV/f.u.
VASP energy	-7.14	eV/atom

---

No. 2
First-principles (GGA-PBE) data for a relaxed YMgAg2 crystal, as listed in the Alexandria database.

```
YMgAg2
1.0
5.316 0.000 0.000
1.520 5.094 0.000
-3.418 -2.547 3.177
Ag Mg Y
2 1 1
direct
0.000 0.000 0.000
0.250 0.750 0.500
0.500 0.500 0.000
0.750 0.250 0.500
```

Summary:
N(E_F)	2.01	states/eV/f.u.
VASP energy	-3.60	eV/atom
ΔH_f (0 K)	-161	meV/atom